An optimized crystal structure of AcTlAsO6, computed with PBE.

```
AcTlAsO6
1.0
5.461 0.000 0.000
2.730 4.729 0.000
0.000 0.000 5.273
Tl O Ac As
1 6 1 1
Direct
0.667 0.667 0.500 Tl
0.605 0.343 0.709 O
0.052 0.343 0.291 O
0.052 0.605 0.709 O
0.605 0.052 0.291 O
0.343 0.052 0.709 O
0.343 0.605 0.291 O
0.000 0.000 0.000 Ac
0.333 0.333 0.500 As
```

Values from the calculation:
VASP energy: -54.92 eV for the cell shown
Space-group type: P312 (149)
Raw formation energy: -1.5605 eV/atom